Entry from Alexandria via LeMat-Bulk: a relaxed LiMoPb2F8 crystal (GGA+U).

abc: 4.4189 5.7362 7.4521
angles: 96.92 84.97 93.54
Last column: nearest neighbours and their distance in Å.
Fractional positions:
Li 0.0000 0.0000 0.0000  4 F 1.99-2.05
Mo 0.0000 0.0000 0.5000  6 F 2.10-2.12
Pb 0.3595 0.5155 0.7693  6 F 2.45-2.61
Pb 0.6405 0.4845 0.2307  6 F 2.45-2.61
F 0.2130 0.7467 0.3070  1 Mo 2.12
F 0.7557 0.6979 0.9588  1 Li 1.99
F 0.8100 0.0646 0.2604  1 Li 2.05, 1 Mo 2.12
F 0.7870 0.2533 0.6930  1 Mo 2.12
F 0.2443 0.3021 0.0412  1 Li 1.99
F 0.1900 0.9354 0.7396  1 Li 2.05, 1 Mo 2.12
F 0.6994 0.7094 0.5398  1 Mo 2.10
F 0.3006 0.2906 0.4602  1 Mo 2.10

Values from the calculation:
Electronic total energy in eV/atom: -5.128
Volume in Å³/f.u.: 186.5